No. 1
9
Lattice="8.126 -0.113 -0.164 -3.958 7.098 0.164 -3.958 -2.374 6.691" Properties=species:S:1:pos:R:3 comment="Cs2ThBr5Cl, relaxed, DFT GGA-PBE" crystal_system=tetragonal final_energy_ev_per_atom=-4.042 sg="I4mm, No. 107" raw_formation_energy_ev_per_atom=-1.893 m_tot_mub_per_fu=0.00 pbc="T T T"
Cs 0.120 -0.071 4.965
Cs 0.120 4.665 1.701
Th -7.895 4.712 6.837
Br 2.076 1.111 1.612
Br -1.849 3.490 5.065
Br -3.950 4.744 1.776
Br -3.950 -0.030 5.065
Br -1.943 1.159 1.683
Cl -6.055 3.614 5.244

***

No. 2
9
Lattice="6.365 -0.632 -0.430 0.680 7.897 0.650 0.680 3.504 7.106" Properties=species:S:1:pos:R:3 comment="Cs2ThBr2Cl4, relaxed, DFT GGA-PBE" crystal_system=monoclinic final_energy_ev_per_atom=-4.266 sg="C2/m, No. 12" raw_formation_energy_ev_per_atom=-2.060 m_tot_mub_per_fu=0.00 pbc="T T T"
Cs 2.380 7.383 5.023
Cs 5.345 3.386 2.304
Th 3.182 -0.316 -0.215
Br 1.933 1.821 1.239
Br 5.792 8.948 6.088
Cl 2.247 5.743 1.542
Cl 5.477 7.226 2.551
Cl 5.477 5.026 5.785
Cl 2.247 3.543 4.776

***

No. 3
10
Lattice="8.270 0.000 0.000 0.000 8.270 0.000 4.135 4.135 5.162" Properties=species:S:1:pos:R:3 comment="Cs2TiBrCl6, relaxed, DFT GGA-PBE" crystal_system=tetragonal final_energy_ev_per_atom=-3.740 sg="I4/mmm, No. 139" raw_formation_energy_ev_per_atom=-1.505 m_tot_mub_per_fu=0.00 pbc="T T T"
Cs 8.270 4.135 2.581
Cs 4.135 8.270 2.581
Cl 4.135 4.135 2.392
Cl 8.270 8.270 2.769
Cl 2.472 2.472 0.000
Cl 5.798 5.798 0.000
Cl 5.798 2.472 0.000
Cl 2.472 5.798 0.000
Br 0.000 0.000 0.000
Ti 4.135 4.135 0.000

***

No. 4
9
Lattice="7.782 -0.142 -0.206 -3.820 6.781 0.206 -3.820 -2.222 6.410" Properties=species:S:1:pos:R:3 comment="Cs2TiBr5Cl, relaxed, DFT GGA-PBE" crystal_system=tetragonal final_energy_ev_per_atom=-3.768 sg="I4mm, No. 107" raw_formation_energy_ev_per_atom=-1.567 m_tot_mub_per_fu=0.00 pbc="T T T"
Cs 0.081 -0.048 4.747
Cs 0.081 4.453 1.645
Ti -7.617 4.545 6.596
Br 1.853 0.987 1.432
Br -1.688 3.417 4.958
Br -3.809 4.682 1.638
Br -3.809 -0.137 4.958
Br -1.730 1.032 1.498
Cl -5.999 3.580 5.195

***

No. 5
10
Lattice="8.000 0.000 0.000 0.000 8.000 0.000 4.000 4.000 6.020" Properties=species:S:1:pos:R:3 comment="Cs2TiBr6Cl, relaxed, DFT GGA-PBE" crystal_system=tetragonal final_energy_ev_per_atom=-3.381 sg="I4/mmm, No. 139" raw_formation_energy_ev_per_atom=-1.232 m_tot_mub_per_fu=1.00 pbc="T T T"
Cs 8.000 4.000 3.010
Cs 4.000 8.000 3.010
Cl 4.000 4.000 0.000
Br 4.000 4.000 3.499
Br 8.000 8.000 2.521
Br 1.793 1.793 0.000
Br 6.207 6.207 0.000
Br 6.207 1.793 0.000
Br 1.793 6.207 0.000
Ti 0.000 0.000 0.000

***

No. 6
9
Lattice="-3.669 -1.751 -5.202 -5.677 -0.175 5.100 -3.938 6.317 1.689" Properties=species:S:1:pos:R:3 comment="Cs2TiBr4Cl2, relaxed, DFT GGA-PBE" crystal_system=monoclinic final_energy_ev_per_atom=-3.822 sg="C2/m, No. 12" raw_formation_energy_ev_per_atom=-1.601 m_tot_mub_per_fu=0.00 pbc="T T T"
Cs -7.310 3.578 3.085
Cs -5.974 0.813 -1.498
Ti -1.834 -0.875 -2.601
Br -5.401 0.368 2.292
Br -8.790 0.636 1.075
Br -7.883 4.023 -0.705
Br -4.494 3.755 0.512
Cl -2.456 0.302 -0.676
Cl -10.828 4.088 2.263

***

No. 7
12
Lattice="-0.625 1.840 -5.976 -5.159 -4.542 -0.871 -9.934 5.478 2.719" Properties=species:S:1:pos:R:3 comment="CsTiBrCl3, relaxed, DFT GGA-PBE" crystal_system=monoclinic final_energy_ev_per_atom=-4.233 sg="C2/c, No. 15" raw_formation_energy_ev_per_atom=-1.573 m_tot_mub_per_fu=1.00 pbc="T T T"
Cs -6.654 2.317 -0.249
Cs -9.065 0.459 -3.879
Ti -9.986 6.418 -1.942
Ti -5.733 -3.643 -2.187
Br -9.871 0.717 -0.411
Br -5.848 2.059 -3.717
Cl -13.812 2.356 -0.789
Cl -10.730 4.135 2.026
Cl -8.506 4.859 -2.576
Cl -1.907 0.419 -3.339
Cl -4.989 -1.360 -6.154
Cl -7.212 -2.084 -1.552

***

No. 8
4
Lattice="5.844 0.000 0.000 2.922 5.061 0.000 2.922 1.687 4.772" Properties=species:S:1:pos:R:3 comment="CsTlBrCl, relaxed, DFT GGA-PBE" crystal_system=cubic polymorph_energy_ev_per_atom=0.0126 final_energy_ev_per_atom=-3.022 sg="F-43m, No. 216" raw_formation_energy_ev_per_atom=-1.337 m_tot_mub_per_fu=0.00 pbc="T T T"
Cs 8.766 5.061 3.579
Tl 2.922 1.687 1.193
Br 5.844 3.374 2.386
Cl 0.000 0.000 0.000

***

No. 9
5
Lattice="-0.995 4.421 -3.354 -0.082 -3.419 -4.482 -5.683 -0.760 0.684" Properties=species:S:1:pos:R:3 comment="CsTlBrCl2, relaxed, DFT GGA-PBE" crystal_system=tetragonal final_energy_ev_per_atom=-2.945 sg="P4/mmm, No. 123" raw_formation_energy_ev_per_atom=-1.227 m_tot_mub_per_fu=0.00 pbc="T T T"
Cs -3.380 0.121 -3.576
Tl 0.000 0.000 0.000
Br -2.841 -0.380 0.342
Cl -0.041 -1.709 -2.241
Cl -0.497 2.210 -1.677

***

No. 10
7
Lattice="-5.011 1.339 2.374 2.129 -1.014 5.067 4.002 8.320 -3.099" Properties=species:S:1:pos:R:3 comment="Cs2TlBrCl3, relaxed, DFT GGA-PBE" crystal_system=orthorhombic final_energy_ev_per_atom=-3.041 sg="Immm, No. 71" raw_formation_energy_ev_per_atom=-1.428 m_tot_mub_per_fu=0.00 pbc="T T T"
Cs -0.697 2.626 3.901
Cs 1.817 6.019 0.441
Tl 0.000 0.000 0.000
Br -2.505 0.669 1.187
Cl 1.065 -0.507 2.534
Cl 0.832 2.756 0.202
Cl 0.288 5.889 4.140

***

No. 11
7
Lattice="5.617 0.000 0.000 0.000 5.750 0.000 -2.808 -2.875 9.236" Properties=species:S:1:pos:R:3 comment="Cs2TlBr3Cl, relaxed, DFT GGA-PBE" crystal_system=orthorhombic final_energy_ev_per_atom=-2.907 sg="Immm, No. 71" raw_formation_energy_ev_per_atom=-1.344 m_tot_mub_per_fu=0.00 pbc="T T T"
Cs 2.808 2.875 2.595
Cs 0.000 0.000 6.642
Tl 0.000 0.000 0.000
Br 0.000 2.875 0.000
Br 0.000 0.000 3.017
Br 2.808 2.875 6.219
Cl 2.808 0.000 0.000

***

No. 12
4
Lattice="5.789 0.000 0.000 2.894 5.013 0.000 2.894 1.671 6.097" Properties=species:S:1:pos:R:3 comment="CsTlBrCl, relaxed, DFT GGA-PBE" crystal_system=trigonal polymorph_energy_ev_per_atom=0.0000 final_energy_ev_per_atom=-3.035 sg="R3m, No. 160" raw_formation_energy_ev_per_atom=-1.350 m_tot_mub_per_fu=0.00 pbc="T T T"
Cs 5.789 3.342 3.580
Tl 8.683 5.013 0.226
Br 8.683 5.013 6.005
Cl 2.894 1.671 3.425

***

No. 13
5
Lattice="5.830 0.000 0.000 0.000 5.830 0.000 0.000 0.000 5.665" Properties=species:S:1:pos:R:3 comment="CsTlBr2Cl, relaxed, DFT GGA-PBE" crystal_system=tetragonal final_energy_ev_per_atom=-2.845 sg="P4/mmm, No. 123" raw_formation_energy_ev_per_atom=-1.163 m_tot_mub_per_fu=0.00 pbc="T T T"
Cs 2.915 2.915 2.832
Tl 0.000 0.000 0.000
Br 0.000 2.915 0.000
Br 2.915 0.000 0.000
Cl 0.000 0.000 2.832

***

No. 14
10
Lattice="5.237 0.000 0.000 0.000 5.237 0.000 -2.618 -2.618 17.535" Properties=species:S:1:pos:R:3 comment="Cs3Tl2Br2Cl3, relaxed, DFT GGA-PBE" crystal_system=tetragonal final_energy_ev_per_atom=-3.053 sg="I4/mmm, No. 139" raw_formation_energy_ev_per_atom=-1.435 m_tot_mub_per_fu=0.00 pbc="T T T"
Cs 2.618 2.618 3.473
Cs 0.000 0.000 14.062
Cs 0.000 0.000 0.000
Tl 2.618 2.618 10.469
Tl 0.000 0.000 7.066
Br 2.618 0.000 8.767
Br 0.000 2.618 8.767
Cl 2.618 2.618 14.114
Cl 2.618 2.618 0.000
Cl 0.000 0.000 3.421

***

No. 15
9
Lattice="-4.385 1.506 4.673 -4.535 -6.190 -1.609 1.220 -6.666 3.944" Properties=species:S:1:pos:R:3 comment="Cs2UBr4Cl2, relaxed, DFT GGA-PBE" crystal_system=monoclinic final_energy_ev_per_atom=-4.310 sg="C2/m, No. 12" raw_formation_energy_ev_per_atom=-1.713 m_tot_mub_per_fu=2.00 pbc="T T T"
Cs -3.206 -8.217 2.618
Cs -4.494 -3.133 4.389
U -2.192 0.753 2.336
Br -4.016 -4.729 0.873
Br -6.556 -6.384 3.363
Br -3.684 -6.621 6.134
Br -1.144 -4.967 3.644
Cl -1.584 -1.633 1.502
Cl -6.116 -9.717 5.506

***

No. 16
9
Lattice="8.026 -0.079 -0.115 -3.881 7.025 0.115 -3.881 -2.394 6.606" Properties=species:S:1:pos:R:3 comment="Cs2UBr5Cl, relaxed, DFT GGA-PBE" crystal_system=tetragonal final_energy_ev_per_atom=-4.240 sg="I4mm, No. 107" raw_formation_energy_ev_per_atom=-1.662 m_tot_mub_per_fu=2.00 pbc="T T T"
Cs 0.145 -0.086 4.915
Cs 0.145 4.623 1.669
U -7.740 4.619 6.703
Br 2.034 1.087 1.578
Br -1.752 3.454 5.013
Br -3.872 4.719 1.693
Br -3.872 -0.098 5.013
Br -1.894 1.130 1.640
Cl -5.950 3.551 5.153

***

No. 17
9
Lattice="-5.026 -4.349 -3.830 7.171 0.766 -2.614 2.707 -2.350 6.783" Properties=species:S:1:pos:R:3 comment="Cs2VBr4Cl2, relaxed, DFT GGA-PBE" crystal_system=tetragonal final_energy_ev_per_atom=-3.731 sg="I4/mmm, No. 139" raw_formation_energy_ev_per_atom=-1.374 m_tot_mub_per_fu=1.00 pbc="T T T"
Cs 3.542 -2.188 -2.180
Cs 1.310 -3.745 2.518
V 0.000 0.000 0.000
Br 6.137 0.044 -0.437
Br 4.892 -3.550 1.147
Br 3.741 -1.628 4.605
Br -0.040 -2.383 -0.809
Cl 7.772 -1.246 3.279
Cl 2.106 -0.338 0.889

***

No. 18
7
Lattice="-2.156 -3.227 -3.679 4.673 -1.374 -1.532 -1.294 -4.129 8.266" Properties=species:S:1:pos:R:3 comment="Cs2VBrCl3, relaxed, DFT GGA-PBE" crystal_system=orthorhombic final_energy_ev_per_atom=-4.120 sg="Immm, No. 71" raw_formation_energy_ev_per_atom=-1.543 m_tot_mub_per_fu=3.00 pbc="T T T"
Cs 1.248 -4.186 -0.946
Cs -0.025 -4.544 4.001
V 0.000 0.000 0.000
Br -1.078 -1.613 -1.839
Cl 2.336 -0.687 -0.766
Cl -0.010 -1.881 1.656
Cl 1.234 -6.850 1.399

***

No. 19
9
Lattice="7.536 -0.042 -0.060 -3.654 6.591 0.060 -3.654 -2.259 6.192" Properties=species:S:1:pos:R:3 comment="Cs2VBr2Cl4, relaxed, DFT GGA-PBE" crystal_system=tetragonal final_energy_ev_per_atom=-3.875 sg="I4/mmm, No. 139" raw_formation_energy_ev_per_atom=-1.480 m_tot_mub_per_fu=1.00 pbc="T T T"
Cs 0.114 4.358 1.563
Cs 0.114 -0.068 4.629
V 0.000 0.000 0.000
Br -5.561 3.296 4.758
Br -1.747 1.035 1.494
Cl -3.654 4.679 1.385
Cl -1.449 3.372 4.867
Cl -3.654 -0.347 4.867
Cl 1.677 0.918 1.325

***

No. 20
5
Lattice="5.106 0.000 0.000 0.000 5.106 0.000 0.000 0.000 5.369" Properties=species:S:1:pos:R:3 comment="CsVBrCl2, relaxed, DFT GGA-PBE" crystal_system=tetragonal final_energy_ev_per_atom=-4.401 sg="P4/mmm, No. 123" raw_formation_energy_ev_per_atom=-1.333 m_tot_mub_per_fu=3.00 pbc="T T T"
Cs 2.553 2.553 2.685
Cl 0.000 2.553 0.000
Cl 2.553 0.000 0.000
Br 0.000 0.000 2.685
V 0.000 0.000 0.000